Record 1
# CuC8 | Alexandria via LeMat-Bulk | SCAN | PBEsol geometry
data_CuC8
_cell_length_a 5.417
_cell_length_b 5.417
_cell_length_c 5.461
_cell_angle_alpha 90.00
_cell_angle_beta 90.00
_cell_angle_gamma 90.00
_symmetry_space_group_name_H-M 'I 4/m m m'
_symmetry_Int_Tables_number 139
_symmetry_space_group_name_Hall '-I 4 2'
loop_
_atom_site_label
_atom_site_type_symbol
_atom_site_fract_x
_atom_site_fract_y
_atom_site_fract_z
Cu1 Cu 0.000 0.000 0.000
C1 C 0.000 0.368 0.000
C2 C 0.247 0.247 0.000
# Total energy   -0.651 Ry/atom
# ΔE_f   1.808 eV per atom

Record 2
# YOs2RhI | Alexandria via LeMat-Bulk | SCAN | PBEsol geometry
data_YOs2RhI
_cell_length_a 4.829
_cell_length_b 4.829
_cell_length_c 5.520
_cell_angle_alpha 90.00
_cell_angle_beta 90.00
_cell_angle_gamma 90.00
_symmetry_space_group_name_H-M 'P 4/m m m'
_symmetry_Int_Tables_number 123
_symmetry_space_group_name_Hall '-P 4 2'
loop_
_atom_site_label
_atom_site_type_symbol
_atom_site_fract_x
_atom_site_fract_y
_atom_site_fract_z
Y1 Y 0.000 0.000 0.000
Os1 Os 0.000 0.500 0.000
Rh1 Rh 0.500 0.500 0.500
I1 I 0.000 0.000 0.500
# Total energy   -3.370 Ry/atom
# Formation energy from raw total energies   2.5685 eV/atom